Material: BaAgN2F
Method: DFT, PBE
State: optimized geometry

VASP energy: -4.6535 eV/atom
E_form (uncorrected): 0.03 eV/f.u.
ΔE to the lowest computed polymorph: 0.0000 eV per atom

abc: 4.094 4.094 5.041
angles: 90.00 90.00 90.00
Site moments in Bohr magnetons follow the coordinates.
Fractional coordinates of all 5 atoms:
N (0.000, 0.500, 0.000)  0.73
N (0.500, 0.000, 0.000)  0.73
Ba (0.500, 0.500, 0.500)  0.01
Ag (0.000, 0.000, 0.000)  0.17
F (0.000, 0.000, 0.500)  0.00